TbSiRhC | PBE | optimized geometry

Output
The mass density is 7.8 Mg/m³. Its symmetry is P4/nmm. The uncorrected formation energy comes out at -0.673 eV per atom.

Geometry as extended XYZ:
```
8
Lattice="3.8906 0.0000 0.0000 0.0000 3.8906 0.0000 0.0000 0.0000 8.4921" Properties=species:S:1:pos:R:3 pbc="T T T"
Tb 0.9726 0.9726 1.2394
Tb 2.9179 2.9179 7.2527
Si 0.9726 0.9726 5.5807
Si 2.9179 2.9179 2.9113
Rh 0.9726 2.9179 4.2460
Rh 2.9179 0.9726 4.2460
C 0.9726 0.9726 7.3806
C 2.9179 2.9179 1.1115
```